# 1
This record from Alexandria via LeMat-Bulk describes a geometry-optimized K2DyRe2N6 structure. The functional is PBE.

Cell: 10.928 6.280 7.428 Å, 90.00 122.12 90.00°
Space group C2/m (No. 12)
Inequivalent atoms, fractional coordinates:
K 0.216 0.000 0.187 (multiplicity 4)
Dy 0.000 0.000 0.500 (multiplicity 2)
Re 0.054 0.500 0.211 (multiplicity 4)
N 0.013 0.261 0.739 (multiplicity 8)
N 0.245 0.500 0.325 (multiplicity 4)

Results
Magnetic moment in Bohr magnetons per cell: 1.821

---

# 2
This record from Alexandria via LeMat-Bulk describes a geometry-optimized KDyReN3 structure. The functional is PBE.

Cell: 13.408 3.890 7.781 Å, 90.00 104.40 90.00°
Space group C2/m (No. 12)
Inequivalent atoms, fractional coordinates:
K 0.144 0.000 0.070 (multiplicity 4)
Dy 0.162 0.000 0.574 (multiplicity 4)
Re 0.003 0.500 0.329 (multiplicity 4)
N 0.010 0.000 0.327 (multiplicity 4)
N 0.137 0.500 0.785 (multiplicity 4)
N 0.161 0.500 0.379 (multiplicity 4)

Results
Magnetic moment in Bohr magnetons per cell: 0.000

---

no.,formation energy without anion corrections (eV per atom)
1,-0.356
2,-0.569